DFT (PBE) results for Sr2Zn2In after structural relaxation.

It has space group I4/mmm (No. 139), with a = 3.891 Å, b = 3.891 Å, c = 20.006 Å, α = 90.00°, β = 90.00° and γ = 90.00°. The inequivalent atoms are Sr at (0.000, 0.000, 0.109), Zn at (0.000, 0.500, 0.250) and In at (0.000, 0.000, 0.500).

The total magnetization is 0.0 μB per formula unit.

=====

DFT (PBE) results for Sm2TmZn2Pd5 after structural relaxation.

It has space group P4/mbm (No. 127), with a = 9.952 Å, b = 9.952 Å, c = 3.880 Å, α = 90.00°, β = 90.00° and γ = 90.00°. The inequivalent atoms are Sm at (0.176, 0.324, 0.000), Tm at (0.000, 0.000, 0.000), Zn at (0.119, 0.619, 0.000), Pd at (0.000, 0.500, 0.500) and Pd at (0.068, 0.789, 0.500).

The total magnetization is 0.0 μB per formula unit.

=====

| no. | energy relative to the elements (eV per atom) | N(E_F) (states/eV per cell) |
| --- | --- | --- |
| 1 | -0.1507 | 8.4 |
| 2 | -0.7648 | 10.2 |